(1)
{
  "formula": "LiZn2InN",
  "functional": "PBE-GGA",
  "state": "relaxed",
  "lattice": [[-1.4479, -4.5246, -0.2331], [2.6890, -0.9782, 2.2830], [-2.8842, 0.7318, 3.7106]],
  "species": ["Zn", "Zn", "In", "Li", "N"],
  "fractional_positions": [[0.5000, 0.0000, 0.0000], [0.0000, 0.0000, 0.5000], [0.5000, 0.5000, 0.5000], [0.0000, 0.0000, 0.0000], [0.0000, 0.5000, 0.0000]],
  "e_form_raw_ev_per_fu": 3.460,
  "n_ef_per_ev_atom": 0.43,
  "energy_ev_per_atom": -2.4132
}

=====

(2)
{
  "formula": "TaBe2Si",
  "functional": "PBE-GGA",
  "state": "relaxed",
  "lattice": [[4.7552, -0.0026, -0.0046], [2.1506, 4.2411, 0.0046], [-3.4506, -2.1230, 2.4896]],
  "species": ["Ta", "Be", "Be", "Si"],
  "fractional_positions": [[0.2500, 0.7500, 0.5000], [0.0000, 0.0000, 0.0000], [0.5000, 0.5000, 0.0000], [0.7500, 0.2500, 0.5000]],
  "e_form_raw_ev_per_fu": -0.122,
  "n_ef_per_ev_atom": 0.48,
  "energy_ev_per_atom": -6.2126
}

=====

(3)
{
  "formula": "PrY3Ho2P6",
  "functional": "PBE-GGA",
  "state": "relaxed",
  "lattice": [[-5.6703, -1.0550, -3.9587], [0.5792, -3.1876, 6.2001], [-1.2848, 6.5288, 2.1609]],
  "species": ["Pr", "Y", "Y", "Y", "P", "P", "P", "P", "P", "P", "Ho", "Ho"],
  "fractional_positions": [[0.0000, 0.0000, 0.0000], [0.5000, 0.5000, 0.5000], [0.1654, 0.8346, 0.5000], [0.8346, 0.1654, 0.5000], [0.2564, 0.2564, 0.7481], [0.0842, 0.4246, 0.2526], [0.9158, 0.5754, 0.7474], [0.7436, 0.7436, 0.2519], [0.5754, 0.9158, 0.7474], [0.4246, 0.0842, 0.2526], [0.6671, 0.3329, 0.0000], [0.3329, 0.6671, 0.0000]],
  "e_form_kj_per_mol_atoms": -153.8,
  "n_ef_per_ev_atom": 0.14,
  "energy_ev_per_atom": -7.0765
}

=====

(4)
{
  "formula": "Ba2ReHg",
  "functional": "PBE-GGA",
  "state": "relaxed",
  "lattice": [[-1.7839, 1.3033, 4.0855], [1.5951, 0.2234, 4.3564], [2.8244, 8.7914, -0.1859]],
  "species": ["Hg", "Ba", "Ba", "Re"],
  "fractional_positions": [[0.7500, 0.7500, 0.7500], [0.9950, 0.9950, 0.0356], [0.5050, 0.5050, 0.4644], [0.2500, 0.2500, 0.2500]],
  "e_form_kj_per_mol_atoms": 78.4,
  "n_ef_per_ev_atom": 1.17,
  "energy_ev_per_atom": -3.3366
}

=====

Which formula does entry 3 have?
PrY3Ho2P6